# 1
The following is a DFT calculation (meta-GGA SCAN) of a PBEsol-optimized structure of GeTeBr3. Values from VASP.

The structure in Quantum ESPRESSO input format:
```
&SYSTEM
  ibrav = 0, nat = 5, ntyp = 3
/
ATOMIC_SPECIES
Br 79.90 Br.upf
Ge 72.64 Ge.upf
Te 127.60 Te.upf
CELL_PARAMETERS angstrom
5.327 0.000 0.000
0.000 5.327 0.000
0.000 0.000 5.327
ATOMIC_POSITIONS angstrom
Br 0.000 0.000 2.664
Ge 0.000 0.000 0.000
Te 2.664 2.664 2.664
Br 2.664 0.000 0.000
Br 0.000 2.664 0.000
```

Results
Symmetry ... No. 221
ΔE_f (raw) ... -1 kJ/mol of atoms
Total moment ... 2.9 μB per cell

---

# 2
The following is a DFT calculation (meta-GGA SCAN) of a PBEsol-optimized structure of SnMo2N. Values from VASP.

The structure in Quantum ESPRESSO input format:
```
&SYSTEM
  ibrav = 0, nat = 4, ntyp = 3
/
ATOMIC_SPECIES
Mo 95.94 Mo.upf
N 14.01 N.upf
Sn 118.71 Sn.upf
CELL_PARAMETERS angstrom
4.343 0.000 0.000
2.171 3.761 0.000
2.171 1.254 3.546
ATOMIC_POSITIONS angstrom
Mo 6.514 3.761 2.659
Mo 2.171 1.254 0.886
N 0.000 0.000 0.000
Sn 4.343 2.507 1.773
```

Results
Symmetry ... No. 225
ΔE_f (raw) ... 122 kJ/mol of atoms
Total moment ... 1.0 μB per cell

---

Number 1: N(E_F) 1.67 states/eV/f.u.. Number 2: N(E_F) 4.22 states/eV/f.u..